# K4CoF6 | Alexandria | PBE+U | optimized geometry
# - E (eV for the cell shown) = -291.1
# - D(E_F) (states/eV/atom) = 0.619
data_K4CoF6
_chemical_formula_sum 'K24 Co6 F36'
_cell_length_a 10.2412
_cell_length_b 10.2412
_cell_length_c 12.6633
_cell_angle_alpha 90.00
_cell_angle_beta 90.00
_cell_angle_gamma 120.00
_space_group_name_H-M_alt 'R -3 c'
_space_group_IT_number 167
_space_group_name_Hall '-R 3 2"c'
loop_
_atom_site_label
_atom_site_type_symbol
_atom_site_fract_x
_atom_site_fract_y
_atom_site_fract_z
K1 K 0.0000 0.0000 0.2500
K2 K 0.0000 0.3653 0.2500
Co1 Co 0.0000 0.0000 0.0000
F1 F 0.0250 0.1776 0.4050

# K2CoF | Alexandria | PBE+U | optimized geometry
# - E (eV for the cell shown) = -45.4
# - D(E_F) (states/eV/atom) = 0.000
data_K2CoF
_chemical_formula_sum 'K8 Co4 F4'
_cell_length_a 7.676
_cell_length_b 7.676
_cell_length_c 7.676
_cell_angle_alpha 90.00
_cell_angle_beta 90.00
_cell_angle_gamma 90.00
_space_group_name_H-M_alt 'F m -3 m'
_space_group_IT_number 225
_space_group_name_Hall '-F 4 2 3'
loop_
_atom_site_label
_atom_site_type_symbol
_atom_site_fract_x
_atom_site_fract_y
_atom_site_fract_z
K1 K 0.250 0.250 0.250
Co1 Co 0.000 0.000 0.000
F1 F 0.000 0.000 0.500